HfTa4Ga2: relaxed, PBE.

Space group: Cmmm (65)
Crystal system: orthorhombic
ΔE_f: -130 meV/atom

a = 8.7877 Å, b = 8.7877 Å, c = 3.4432 Å
α = 90.00°, β = 90.00°, γ = 151.01°
Positions (direct):
Hf: 0.0000 0.0000 0.0000
Ta: 0.1716 0.8284 0.5000
Ta: 0.3109 0.6891 0.0000
Ta: 0.6891 0.3109 0.0000
Ta: 0.8284 0.1716 0.5000
Ga: 0.4309 0.5691 0.5000
Ga: 0.5691 0.4309 0.5000